[1]
Material: YAgH2N
Method: DFT, PBE-GGA
State: relaxed

Cell lengths 4.035, 4.035, 4.501 Å; angles 90.00, 90.00, 90.00 degrees
Element x y z (fractional)
Y 0.000 0.000 0.500
N 0.000 0.000 0.000
H 0.500 0.000 0.000
H 0.000 0.500 0.000
Ag 0.500 0.500 0.500

Values from the calculation:
calculated volume: 14.66 Å³ per atom
N(E_F): 1.64 states/eV/cell
DFT total energy: -0.303 Ry per atom

[2]
Material: Na3Ag5H12
Method: DFT, PBE-GGA
State: relaxed

Cell lengths 10.554, 10.554, 10.554 Å; angles 109.47, 109.47, 109.47 degrees
Element x y z (fractional)
H 0.601 0.618 0.430
H 0.930 0.101 0.618
H 0.483 0.813 0.882
H 0.829 0.930 0.313
H 0.899 0.070 0.882
H 0.687 0.118 0.017
H 0.118 0.687 0.517
H 0.187 0.671 0.070
H 0.983 0.601 0.171
H 0.687 0.570 0.171
H 0.313 0.430 0.829
H 0.829 0.899 0.017
H 0.899 0.829 0.517
H 0.483 0.671 0.101
H 0.313 0.882 0.983
H 0.430 0.313 0.329
H 0.382 0.399 0.070
H 0.382 0.983 0.813
H 0.430 0.118 0.601
H 0.171 0.101 0.983
H 0.618 0.017 0.187
H 0.618 0.601 0.930
H 0.399 0.382 0.570
H 0.329 0.813 0.430
H 0.070 0.899 0.382
H 0.118 0.430 0.101
H 0.171 0.070 0.687
H 0.017 0.399 0.829
H 0.017 0.618 0.687
H 0.882 0.570 0.899
H 0.399 0.017 0.329
H 0.570 0.882 0.399
H 0.930 0.829 0.813
H 0.101 0.930 0.118
H 0.813 0.483 0.382
H 0.671 0.483 0.601
H 0.517 0.329 0.899
H 0.570 0.687 0.671
H 0.601 0.983 0.671
H 0.882 0.313 0.483
H 0.070 0.171 0.187
H 0.517 0.187 0.118
H 0.671 0.187 0.570
H 0.813 0.329 0.930
H 0.101 0.171 0.483
H 0.983 0.382 0.313
H 0.187 0.517 0.618
H 0.329 0.517 0.399
Ag 0.875 0.250 0.625
Ag 0.250 0.375 0.625
Ag 0.000 0.500 0.000
Ag 0.625 0.750 0.875
Ag 0.250 0.875 0.125
Ag 0.000 0.000 0.500
Ag 0.125 0.375 0.250
Ag 0.000 0.000 0.000
Ag 0.125 0.750 0.375
Ag 0.500 0.000 0.000
Ag 0.375 0.125 0.750
Ag 0.625 0.875 0.250
Ag 0.750 0.625 0.375
Ag 0.500 0.500 0.000
Ag 0.500 0.000 0.500
Ag 0.000 0.500 0.500
Ag 0.375 0.250 0.125
Ag 0.875 0.625 0.750
Ag 0.750 0.125 0.875
Ag 0.500 0.500 0.500
Na 0.250 0.625 0.875
Na 0.625 0.250 0.375
Na 0.375 0.750 0.625
Na 0.875 0.750 0.125
Na 0.250 0.125 0.375
Na 0.750 0.875 0.625
Na 0.375 0.625 0.250
Na 0.750 0.375 0.125
Na 0.875 0.125 0.250
Na 0.125 0.875 0.750
Na 0.125 0.250 0.875
Na 0.625 0.375 0.750

Values from the calculation:
calculated volume: 11.31 Å³ per atom
N(E_F): 25.89 states/eV/cell
DFT total energy: -0.201 Ry per atom

[3]
Material: Na3AgH
Method: DFT, PBE-GGA
State: relaxed

Cell lengths 5.628, 5.628, 5.628 Å; angles 90.00, 90.00, 90.00 degrees
Element x y z (fractional)
Ag 0.000 0.000 0.000
Na 0.500 0.000 0.000
Na 0.000 0.000 0.500
Na 0.000 0.500 0.000
H 0.500 0.500 0.500

Values from the calculation:
relative energy among the computed polymorphs: 2.29 eV per formula unit
calculated volume: 35.65 Å³ per atom
N(E_F): 4.43 states/eV/cell

[4]
Material: Na2AgH6
Method: DFT, PBE-GGA
State: relaxed

Cell lengths 5.077, 5.077, 5.077 Å; angles 60.00, 60.00, 60.00 degrees
Element x y z (fractional)
Na 0.750 0.750 0.750
Na 0.250 0.250 0.250
H 0.759 0.241 0.241
H 0.241 0.759 0.241
H 0.759 0.241 0.759
H 0.241 0.759 0.759
H 0.759 0.759 0.241
H 0.241 0.241 0.759
Ag 0.000 0.000 0.000

Values from the calculation:
calculated volume: 10.28 Å³ per atom
N(E_F): 2.18 states/eV/cell
DFT total energy: -0.195 Ry per atom

[5]
Material: NaAgH
Method: DFT, PBE-GGA
State: relaxed

Cell lengths 3.000, 3.000, 6.019 Å; angles 104.43, 104.43, 90.00 degrees
Element x y z (fractional)
H 0.414 0.414 0.829
Na 0.854 0.854 0.707
Ag 0.582 0.582 0.164

Values from the calculation:
relative energy among the computed polymorphs: 0.28 eV per formula unit
calculated volume: 16.90 Å³ per atom
N(E_F): 0.69 states/eV/cell

[6]
Material: NaAgH
Method: DFT, PBE-GGA
State: relaxed

Cell lengths 2.856, 5.951, 5.978 Å; angles 82.91, 90.00, 103.88 degrees
Element x y z (fractional)
Ag 0.327 0.655 0.334
Ag 0.673 0.345 0.666
Na 0.596 0.193 0.187
Na 0.404 0.807 0.813
H 0.091 0.183 0.828
H 0.909 0.817 0.172

Values from the calculation:
relative energy among the computed polymorphs: 0.00 eV per formula unit
calculated volume: 16.31 Å³ per atom
N(E_F): 0.76 states/eV/cell

[7]
Material: Na3AgH
Method: DFT, PBE-GGA
State: relaxed

Cell lengths 4.737, 4.737, 4.737 Å; angles 90.00, 90.00, 90.00 degrees
Element x y z (fractional)
Na 0.000 0.500 0.000
Na 0.000 0.000 0.500
Na 0.500 0.000 0.000
Ag 0.500 0.500 0.500
H 0.000 0.000 0.000

Values from the calculation:
relative energy among the computed polymorphs: 0.00 eV per formula unit
calculated volume: 21.26 Å³ per atom
N(E_F): 2.49 states/eV/cell

[8]
Material: NaNbAgH2
Method: DFT, PBE-GGA
State: relaxed

Cell lengths 3.931, 4.928, 3.931 Å; angles 90.00, 90.00, 90.00 degrees
Element x y z (fractional)
Na 0.000 0.000 0.000
Ag 0.000 0.500 0.000
Nb 0.500 0.500 0.500
H 0.500 0.000 0.000
H 0.000 0.000 0.500

Values from the calculation:
calculated volume: 15.23 Å³ per atom
N(E_F): 3.52 states/eV/cell
DFT total energy: -0.222 Ry per atom